Computed, not measured: a crystal of PrBRh3 relaxed with PBEsol at the SCAN level of DFT.

The formation energy is -0.751 eV per atom. The crystal system is cubic. The space-group type is Pm-3m, No. 221. The magnetic moment is 0.07 μB per atom.

Cell: 4.2077 4.2077 4.2077 Å, 90.00 90.00 90.00°
Fractional positions:
Pr1 0.0000 0.0000 0.0000
B1 0.5000 0.5000 0.5000
Rh1 0.0000 0.5000 0.5000
Rh2 0.5000 0.0000 0.5000
Rh3 0.5000 0.5000 0.0000



Computed, not measured: a crystal of PrB2Ru2 relaxed with PBEsol at the SCAN level of DFT.

The formation energy is -0.584 eV per atom. The crystal system is orthorhombic. The space-group type is Fddd, No. 70. The magnetic moment is 0.00 μB per atom.

Cell: 6.7408 5.9335 5.5741 Å, 71.64 56.66 51.70°
Fractional positions:
Pr1 0.1250 0.1250 0.1250
Pr2 0.8750 0.8750 0.8750
B1 0.1934 0.5566 0.1934
B2 0.4434 0.8066 0.4434
B3 0.5566 0.1934 0.5566
B4 0.8066 0.4434 0.8066
Ru1 0.2390 0.2390 0.5110
Ru2 0.4890 0.4890 0.7610
Ru3 0.5110 0.5110 0.2390
Ru4 0.7610 0.7610 0.4890



Computed, not measured: a crystal of PrB4Ru4 relaxed with PBEsol at the SCAN level of DFT.

The formation energy is -0.489 eV per atom. The crystal system is tetragonal. The space-group type is I4_1/acd, No. 142. The magnetic moment is 0.00 μB per atom.

Cell: 9.1825 9.1825 9.1825 Å, 131.92 131.92 70.35°
Fractional positions:
Pr1 0.1250 0.3750 0.7500
Pr2 0.3750 0.1250 0.2500
Pr3 0.6250 0.8750 0.7500
Pr4 0.8750 0.6250 0.2500
B1 0.0619 0.1232 0.2719
B2 0.1232 0.3513 0.0614
B3 0.1487 0.3768 0.4386
B4 0.2101 0.9381 0.5614
B5 0.2899 0.8513 0.7281
B6 0.3513 0.7899 0.2281
B7 0.3768 0.4381 0.2281
B8 0.4381 0.7101 0.0614
B9 0.5619 0.2899 0.9386
B10 0.6232 0.5619 0.7719
B11 0.6487 0.2101 0.7719
B12 0.7101 0.1487 0.2719
B13 0.7899 0.0619 0.4386
B14 0.8513 0.6232 0.5614
B15 0.8768 0.6487 0.9386
B16 0.9381 0.8768 0.7281
Ru1 0.0424 0.8205 0.9897
Ru2 0.0527 0.0424 0.7219
Ru3 0.1692 0.6795 0.7219
Ru4 0.1795 0.6692 0.2219
Ru5 0.3205 0.5424 0.4897
Ru6 0.3308 0.0527 0.5103
Ru7 0.4473 0.1692 0.9897
Ru8 0.4576 0.4473 0.7781
Ru9 0.5424 0.5527 0.2219
Ru10 0.5527 0.8308 0.0103
Ru11 0.6692 0.9473 0.4897
Ru12 0.6795 0.4576 0.5103
Ru13 0.8205 0.3308 0.7781
Ru14 0.8308 0.3205 0.2781
Ru15 0.9473 0.9576 0.2781
Ru16 0.9576 0.1795 0.0103



Computed, not measured: a crystal of PrB2Ru3 relaxed with PBEsol at the SCAN level of DFT.

The formation energy is -0.451 eV per atom. The crystal system is hexagonal. The space-group type is P6/mmm, No. 191. The magnetic moment is 0.00 μB per atom.

Cell: 5.5230 5.5230 3.0034 Å, 90.00 90.00 120.00°
Fractional positions:
Pr1 0.0000 0.0000 0.0000
B1 0.3333 0.6667 0.0000
B2 0.6667 0.3333 0.0000
Ru1 0.0000 0.5000 0.5000
Ru2 0.5000 0.0000 0.5000
Ru3 0.5000 0.5000 0.5000



Computed, not measured: a crystal of PrSmB12 relaxed with PBEsol at the SCAN level of DFT.

The formation energy is -0.540 eV per atom. The crystal system is tetragonal. The space-group type is P4/mmm, No. 123. The magnetic moment is 0.00 μB per atom.

Cell: 5.8117 5.8117 4.1062 Å, 90.00 90.00 90.00°
Fractional positions:
Pr1 0.0000 0.0000 0.0000
Sm1 0.5000 0.5000 0.0000
B1 0.0000 0.5000 0.1995
B2 0.0000 0.5000 0.8005
B3 0.1505 0.3499 0.5000
B4 0.1505 0.6501 0.5000
B5 0.3499 0.1505 0.5000
B6 0.3499 0.8495 0.5000
B7 0.5000 0.0000 0.1995
B8 0.5000 0.0000 0.8005
B9 0.6501 0.1505 0.5000
B10 0.6501 0.8495 0.5000
B11 0.8495 0.3499 0.5000
B12 0.8495 0.6501 0.5000



Computed, not measured: a crystal of BPt2 relaxed with PBEsol at the SCAN level of DFT.

The formation energy is -0.233 eV per atom. The crystal system is hexagonal. The space-group type is P6_3/mmc, No. 194. The magnetic moment is 0.00 μB per atom.

Cell: 2.9004 2.9004 10.3341 Å, 90.00 90.00 120.00°
Fractional positions:
B1 0.3333 0.6667 0.2500
B2 0.6667 0.3333 0.7500
Pt1 0.3333 0.6667 0.6153
Pt2 0.3333 0.6667 0.8847
Pt3 0.6667 0.3333 0.1153
Pt4 0.6667 0.3333 0.3847



Computed, not measured: a crystal of RbSiBPt2 relaxed with PBEsol at the SCAN level of DFT.

The calculation puts the formation energy from raw total energies at 0.59 eV per atom. The crystal system is tetragonal. The space-group type is P4/mmm, No. 123. The magnetic moment is 0.00 μB per atom.

Cell: 4.7895 4.7895 4.0637 Å, 90.00 90.00 90.00°
Fractional positions:
Rb1 0.0000 0.0000 0.0000
Si1 0.5000 0.5000 0.5000
B1 0.5000 0.5000 0.0000
Pt1 0.0000 0.5000 0.5000
Pt2 0.5000 0.0000 0.5000



Computed, not measured: a crystal of ReB2Pt relaxed with PBEsol at the SCAN level of DFT.

The formation energy is 0.456 eV per atom. The crystal system is tetragonal. The space-group type is I-42d, No. 122. The magnetic moment is 0.00 μB per atom.

Cell: 5.7136 5.7136 5.7136 Å, 130.02 130.02 73.38°
Fractional positions:
Re1 0.0000 0.0000 0.0000
Re2 0.7500 0.2500 0.5000
B1 0.1274 0.6250 0.0024
B2 0.3750 0.3774 0.5024
B3 0.6226 0.1250 0.9976
B4 0.8750 0.8726 0.4976
Pt1 0.2500 0.7500 0.5000
Pt2 0.5000 0.5000 0.0000



Here are the calculated V numbers, same order: 14.9 14.6 11.7 13.2 9.9 12.5 18.6 13.3 (Å³ per atom).